1.
A plane-wave DFT calculation with GGA-PBE was carried out for a relaxed structure of NiSb2Pd2.

Cell and atoms, written as extended XYZ:
```
10
Lattice="6.995 0.000 0.000 0.000 6.995 0.000 0.000 0.000 3.757" Properties=species:S:1:pos:R:3 pbc="T T T"
Sb 1.191 4.689 1.879
Sb 4.689 5.804 1.879
Sb 5.804 2.307 1.879
Sb 2.307 1.191 1.879
Pd 2.524 6.022 0.000
Pd 6.022 4.471 0.000
Pd 4.471 0.973 0.000
Pd 0.973 2.524 0.000
Ni 0.000 0.000 0.000
Ni 3.498 3.498 0.000
```

Computed properties:
crystal system: tetragonal
total magnetization: 0.000 μB/atom
ΔE_f (raw): -0.062 eV/atom
calculated volume: 183.9 Å³ per cell
space-group type: No. 127

=====

2.
A plane-wave DFT calculation with GGA-PBE was carried out for a relaxed structure of PrGaSb.

Cell and atoms, written as extended XYZ:
```
3
Lattice="4.398 0.000 0.000 0.000 4.398 0.000 -2.199 -2.199 4.459" Properties=species:S:1:pos:R:3 pbc="T T T"
Pr 2.199 2.199 1.121
Sb 0.000 0.000 2.327
Ga 2.199 2.199 4.132
```

Computed properties:
crystal system: tetragonal
total magnetization: 0.000 μB/atom
ΔE_f (raw): -0.508 eV/atom
calculated volume: 86.3 Å³ per cell
space-group type: No. 107

=====

3.
A plane-wave DFT calculation with GGA-PBE was carried out for a relaxed structure of CeAl4Tc.

Cell and atoms, written as extended XYZ:
```
12
Lattice="4.253 0.000 0.000 0.000 6.799 0.000 0.000 0.000 7.755" Properties=species:S:1:pos:R:3 pbc="T T T"
Ce 0.000 4.225 5.816
Ce 0.000 2.574 1.939
Al 0.000 0.000 3.878
Al 0.000 0.000 0.000
Al 2.126 6.530 5.816
Al 2.126 0.269 1.939
Al 2.126 4.722 0.478
Al 2.126 2.077 7.277
Al 2.126 4.722 3.400
Al 2.126 2.077 4.356
Tc 0.000 1.476 5.816
Tc 0.000 5.323 1.939
```

Computed properties:
crystal system: orthorhombic
DFT formation energy: -10.11 kcal/mol of atoms
total magnetization: 0.000 μB/atom
calculated volume: 224.2 Å³ per cell
space-group type: No. 51

=====

4.
A plane-wave DFT calculation with GGA-PBE was carried out for a relaxed structure of UTaAl2.

Cell and atoms, written as extended XYZ:
```
4
Lattice="2.918 0.000 0.000 1.459 2.527 0.000 1.459 0.842 10.052" Properties=species:S:1:pos:R:3 pbc="T T T"
U 2.918 1.685 5.026
Al 1.459 0.842 2.323
Al 4.377 2.527 7.730
Ta 0.000 0.000 0.000
```

Computed properties:
crystal system: trigonal
DFT formation energy: -0.90 kcal/mol of atoms
total magnetization: 0.311 μB/atom
calculated volume: 74.1 Å³ per cell
space-group type: No. 166